The following is a PBE calculation of crystalline Tb4C2Cl3 at its relaxed geometry, from Alexandria via LeMat-Bulk.

a = 3.706 Å, b = 3.706 Å, c = 16.812 Å
α = 90.05°, β = 90.05°, γ = 60.00°
Atoms (fractional coordinates):
Tb (0.001, 0.001, 0.284)
Tb (0.334, 0.334, 0.126)
Tb (0.666, 0.666, 0.874)
Tb (0.999, 0.999, 0.716)
C (0.333, 0.333, 0.801)
C (0.667, 0.667, 0.199)
Cl (0.000, 0.000, 0.000)
Cl (0.334, 0.334, 0.388)
Cl (0.666, 0.666, 0.612)

Calculated values
Raw formation energy ... -1.331 eV per atom